CuNiNF2 after structural relaxation, computed with PBE+U.

Summary:
Space group   P4/mmm, No. 123
Final energy   -3.7068 eV per atom
Total moment   1.13 μB per cell

Lattice parameters (Å, degrees): 3.7847 3.7847 3.9946 90.00 90.00 90.00
Each line ends with the local moment (μB).
Fractional positions:
Ni 0.5000 0.5000 0.5000  1.74
F 0.5000 0.0000 0.0000  -0.03
N 0.0000 0.0000 0.5000  -0.23
F 0.0000 0.5000 0.0000  -0.03
Cu 0.0000 0.0000 0.0000  -0.29